(1)
## TaAgI2Br (PBE)

Data for a geometry-optimized TaAgI2Br structure.

a = 6.4002 Å, b = 6.4002 Å, c = 4.8147 Å
α = 90.00°, β = 90.00°, γ = 90.00°
With the nearest neighbours (Å) after each atom.
Element x y z (fractional)
Ta: 0.0000 0.0000 0.0000  8 I 4.00
Ag: 0.5000 0.5000 0.0000  2 Br 2.41
I: 0.0000 0.5000 0.5000  2 Br 3.20
I: 0.5000 0.0000 0.5000  2 Br 3.20
Br: 0.5000 0.5000 0.5000  2 Ag 2.41

Computed properties:
crystal system = tetragonal

=====

(2)
## TaAg2IBr (PBE)

Data for a geometry-optimized TaAg2IBr structure.

a = 5.4799 Å, b = 5.4799 Å, c = 5.4419 Å
α = 90.00°, β = 90.00°, γ = 90.00°
With the nearest neighbours (Å) after each atom.
Element x y z (fractional)
Ta: 0.0000 0.0000 0.0000  2 I 2.72
Ag: 0.0000 0.5000 0.5000  2 I 2.74
Ag: 0.5000 0.0000 0.5000  2 I 2.74
I: 0.0000 0.0000 0.5000  2 Ta 2.72, 4 Ag 2.74
Br: 0.5000 0.5000 0.0000  8 Ag 3.86, 4 Ta 3.87

Computed properties:
crystal system = tetragonal

=====

(3)
## TcAg3I2Br6 (PBE)

Data for a geometry-optimized TcAg3I2Br6 structure.

a = 8.3701 Å, b = 8.3701 Å, c = 6.3108 Å
α = 94.73°, β = 94.73°, γ = 56.71°
With the nearest neighbours (Å) after each atom.
Element x y z (fractional)
Tc: 0.0000 0.0000 0.0000  6 Br 2.52-2.53
Ag: 0.0000 0.5000 0.0000  2 I 2.80, 4 Br 2.91-3.05
Ag: 0.5000 0.0000 0.0000  2 I 2.80, 4 Br 2.91-3.05
Ag: 0.5000 0.5000 0.5000  2 I 2.84, 4 Br 3.04
I: 0.3230 0.3230 0.2791  3 Ag 2.80-2.84
I: 0.6770 0.6770 0.7209  3 Ag 2.80-2.84
Br: 0.1330 0.1330 0.7765  1 Tc 2.52
Br: 0.1481 0.6954 0.7669  1 Tc 2.53
Br: 0.3046 0.8519 0.2331  1 Tc 2.53
Br: 0.6954 0.1481 0.7669  1 Tc 2.53
Br: 0.8519 0.3046 0.2331  1 Tc 2.53
Br: 0.8670 0.8670 0.2235  1 Tc 2.52

Computed properties:
crystal system = monoclinic

=====

(4)
## AgTe2IBr (PBE)

Data for a geometry-optimized AgTe2IBr structure.

a = 5.5112 Å, b = 5.5112 Å, c = 5.5348 Å
α = 90.00°, β = 90.00°, γ = 90.00°
With the nearest neighbours (Å) after each atom.
Element x y z (fractional)
Ag: 0.0000 0.0000 0.0000  4 Te 2.76, 2 I 2.77
Te: 0.0000 0.5000 0.0000  2 Ag 2.76
Te: 0.5000 0.0000 0.0000  2 Ag 2.76
I: 0.0000 0.0000 0.5000  2 Ag 2.77
Br: 0.5000 0.5000 0.5000  4 I 3.90, 8 Te 3.91

Computed properties:
crystal system = tetragonal

=====

(5)
## AgTe2IBr (PBE)

Data for a geometry-optimized AgTe2IBr structure.

a = 5.6237 Å, b = 5.6237 Å, c = 5.8506 Å
α = 90.00°, β = 90.00°, γ = 90.00°
With the nearest neighbours (Å) after each atom.
Element x y z (fractional)
Ag: 0.0000 0.0000 0.0000  4 I 3.98, 8 Te 4.06
Te: 0.0000 0.5000 0.5000  2 Br 2.81
Te: 0.5000 0.0000 0.5000  2 Br 2.81
I: 0.5000 0.5000 0.0000  2 Br 2.93
Br: 0.5000 0.5000 0.5000  4 Te 2.81, 2 I 2.93

Computed properties:
crystal system = tetragonal

=====

(6)
## TlAgIBr2 (PBE)

Data for a geometry-optimized TlAgIBr2 structure.

a = 9.0818 Å, b = 9.0818 Å, c = 8.5909 Å
α = 90.00°, β = 90.00°, γ = 151.48°
With the nearest neighbours (Å) after each atom.
Element x y z (fractional)
Tl: 0.2041 0.7959 0.7500  6 Br 3.30-3.35, 1 I 3.53
Tl: 0.7959 0.2041 0.2500  6 Br 3.30-3.35, 1 I 3.53
Ag: 0.5000 0.5000 0.0000  2 Br 2.59
Ag: 0.5000 0.5000 0.5000  2 Br 2.59
I: 0.0034 0.9966 0.7500  4 Ag 3.10
I: 0.9966 0.0034 0.2500  4 Ag 3.10
Br: 0.3530 0.6470 0.5074  1 Ag 2.59
Br: 0.3530 0.6470 0.9926  1 Ag 2.59
Br: 0.6470 0.3530 0.0074  1 Ag 2.59
Br: 0.6470 0.3530 0.4926  1 Ag 2.59

Computed properties:
crystal system = orthorhombic

=====

How do the records compare in E_form (uncorrected)? In the order shown, they have 1.432; 1.315; -0.282; 0.458; 0.784; -0.408 eV/atom.